No. 1
## LiCd3Bi2 (PBE)

Data for a relaxed structure of LiCd3Bi2.

Properties
E: -2.138 eV/atom
DFT formation energy: -67 meV per atom
space-group type: C2/m, No. 12

Lattice parameters (Å, degrees): 3.305 9.037 11.001 106.12 90.00 100.53
Fractional positions:
1 Cd 0.702 0.403 0.395
2 Cd 0.593 0.185 0.711
3 Cd 0.298 0.597 0.605
4 Cd 0.407 0.815 0.289
5 Cd 0.921 0.842 0.529
6 Cd 0.079 0.158 0.471
7 Bi 0.459 0.918 0.844
8 Bi 0.253 0.506 0.847
9 Bi 0.541 0.082 0.156
10 Bi 0.747 0.494 0.153
11 Li 0.114 0.227 0.964
12 Li 0.886 0.773 0.036

=====

No. 2
## CdFe2Cu (PBE)

Data for a relaxed structure of CdFe2Cu.

Properties
E: -5.197 eV/atom
DFT formation energy: 288 meV per atom
space-group type: Cm, No. 8

Lattice parameters (Å, degrees): 4.612 4.612 4.707 75.36 75.36 36.00
Each line ends with the local moment (μB).
Fractional positions:
1 Fe 0.732 0.732 0.791  2.62
2 Fe 0.007 0.007 0.986  2.52
3 Cd 0.499 0.499 0.492  -0.05
4 Cu 0.262 0.262 0.231  0.06

=====

No. 3
## ZrZn2BF (PBE)

Data for a relaxed structure of ZrZn2BF.

Properties
E: -4.346 eV/atom
raw formation energy: -417 meV/atom
space-group type: P4/mmm, No. 123

Lattice parameters (Å, degrees): 3.930 4.917 3.930 90.00 90.00 90.00
Fractional positions:
1 F 0.500 0.500 0.500
2 Zr 0.000 0.500 0.000
3 B 0.000 0.000 0.000
4 Zn 0.000 0.000 0.500
5 Zn 0.500 0.000 0.000